First-principles (PBE-GGA) data for an optimized crystal structure of NbAlCoPd, as listed in the Open Quantum Materials Database.

a = 6.1737 Å, b = 6.1737 Å, c = 6.1737 Å
α = 90.00°, β = 90.00°, γ = 90.00°
Atoms (fractional coordinates):
Nb (0.0000, 0.0000, 0.0000)
Nb (0.0000, 0.5000, 0.5000)
Nb (0.5000, 0.0000, 0.5000)
Nb (0.5000, 0.5000, 0.0000)
Al (0.0000, 0.0000, 0.5000)
Al (0.0000, 0.5000, 0.0000)
Al (0.5000, 0.0000, 0.0000)
Al (0.5000, 0.5000, 0.5000)
Co (0.2500, 0.2500, 0.7500)
Co (0.2500, 0.7500, 0.2500)
Co (0.7500, 0.2500, 0.2500)
Co (0.7500, 0.7500, 0.7500)
Pd (0.2500, 0.2500, 0.2500)
Pd (0.2500, 0.7500, 0.7500)
Pd (0.7500, 0.2500, 0.7500)
Pd (0.7500, 0.7500, 0.2500)

## Properties
The energy above the lowest structure with this stoichiometry comes out at 0 meV/atom.